VASP calculation (PBE) on CuAgO2 after structural relaxation.

The structure in POSCAR format:
```
CuAgO2
1.0
-2.5347 2.5347 4.2021
2.5347 -2.5347 4.2021
2.5347 2.5347 -4.2021
Cu Ag O
2 2 4
Cartesian
0.0000 0.0000 0.0000
0.0000 2.5347 2.1011
2.5347 0.0000 2.1011
0.0000 0.0000 4.2021
3.8021 0.9486 -1.0505
0.9486 1.2674 1.0505
-1.2674 1.5861 3.1516
1.5861 1.2674 5.2527
```

Computed properties:
The value obtained for the spin magnetization is 0.0000 μB per atom. The value obtained for the density of states at the Fermi level is 0.465 states/eV/atom. The value obtained for the total energy is -4.39 eV/atom. The calculation puts the formation energy (no corrections) at -170 meV/atom.